Density functional theory data (PBE-GGA) for crystalline K2RbNbMo at its relaxed geometry.

Output
As for the uncorrected energy: -17.8 eV per cell. The value obtained for the theoretical density is 2.6 g/cm³. The formation energy comes out at 120.1 kJ/mol of atoms.

a b c (Å): 6.9171 4.6399 6.9171
angles (deg): 90.00 90.00 90.00
Last column: nearest neighbours and their distance in Å.
Element x y z (fractional)
Nb 0.0000 0.0000 0.0000  2 Mo 2.32
Rb 0.5000 0.5000 0.5000  8 K 4.16, 2 Rb 4.64
K 0.5000 0.0000 0.0000  2 Nb 3.46
Mo 0.0000 0.5000 0.0000  2 Nb 2.32
K 0.0000 0.0000 0.5000  2 Nb 3.46

Density functional theory data (PBE-GGA) for crystalline Tb6Ho2Er3Pb at its relaxed geometry.

Output
As for the uncorrected energy: -54.9 eV per cell. The value obtained for the theoretical density is 9.0 g/cm³. The formation energy comes out at -4.7 kJ/mol of atoms.

a b c (Å): 6.0868 6.0868 11.6583
angles (deg): 95.00 95.00 120.03
Last column: nearest neighbours and their distance in Å.
Element x y z (fractional)
Tb 0.9171 0.5878 0.7506  6 Tb 3.47-3.54, 1 Pb 3.49, 3 Er 3.51-3.53, 2 Ho 3.52
Tb 0.4122 0.0829 0.2494  6 Tb 3.47-3.54, 1 Pb 3.49, 3 Er 3.51-3.53, 2 Ho 3.52
Pb 0.0000 0.0000 0.0000  6 Tb 3.49-3.51, 6 Ho 3.51-3.52
Tb 0.7537 0.7537 0.2510  6 Tb 3.47-3.54, 3 Er 3.50-3.52, 1 Pb 3.51, 2 Ho 3.53
Ho 0.3341 0.6659 0.0000  3 Ho 3.50-3.52, 3 Pb 3.51-3.52, 6 Tb 3.52-3.53
Tb 0.2463 0.2463 0.7490  6 Tb 3.47-3.54, 3 Er 3.50-3.52, 1 Pb 3.51, 2 Ho 3.53
Er 0.5000 0.5000 0.5000  6 Er 3.50-3.52, 6 Tb 3.51-3.52
Tb 0.5878 0.9171 0.7506  6 Tb 3.47-3.54, 1 Pb 3.49, 3 Er 3.51-3.53, 2 Ho 3.52
Ho 0.6659 0.3341 0.0000  3 Ho 3.50-3.52, 3 Pb 3.51-3.52, 6 Tb 3.52-3.53
Er 0.8324 0.1676 0.5000  6 Er 3.50-3.53, 6 Tb 3.50-3.53
Tb 0.0829 0.4122 0.2494  6 Tb 3.47-3.54, 1 Pb 3.49, 3 Er 3.51-3.53, 2 Ho 3.52
Er 0.1676 0.8324 0.5000  6 Er 3.50-3.53, 6 Tb 3.50-3.53

Density functional theory data (PBE-GGA) for crystalline Zr2ScBr at its relaxed geometry.

Output
As for the uncorrected energy: -26.4 eV per cell. The value obtained for the theoretical density is 5.5 g/cm³. Its uncorrected formation energy is -0.314 eV/atom.

a b c (Å): 9.5521 9.5521 9.5521
angles (deg): 20.40 20.40 20.40
Last column: nearest neighbours and their distance in Å.
Element x y z (fractional)
Sc 0.7534 0.7534 0.7534  3 Br 3.00, 3 Zr 3.13
Br 0.5012 0.5012 0.5012  3 Zr 2.93, 3 Sc 3.00
Zr 0.2459 0.2459 0.2459  3 Br 2.93, 3 Zr 3.13
Zr 0.9995 0.9995 0.9995  9 Zr 3.13-3.38, 3 Sc 3.13

Density functional theory data (PBE-GGA) for crystalline SiNi2Br at its relaxed geometry.

Output
As for the uncorrected energy: -35.7 eV per cell. The value obtained for the theoretical density is 5.1 g/cm³. The calculation puts the energy above the lowest structure with this stoichiometry at 385 meV per atom. Its uncorrected formation energy is 0.198 eV/atom.

a b c (Å): 5.7046 5.7046 6.0804
angles (deg): 62.02 62.02 90.00
Last column: nearest neighbours and their distance in Å.
Element x y z (fractional)
Ni 0.8750 0.8487 0.7500  2 Si 2.23, 2 Br 2.41
Ni 0.1513 0.6250 0.2500  2 Si 2.23, 2 Br 2.41
Br 0.0000 0.0000 0.0000  4 Ni 2.41
Ni 0.5987 0.1250 0.2500  2 Si 2.23, 2 Br 2.41
Ni 0.3750 0.4013 0.7500  2 Si 2.23, 2 Br 2.41
Br 0.7500 0.2500 0.5000  4 Ni 2.41
Si 0.5000 0.5000 0.0000  4 Ni 2.23
Si 0.2500 0.7500 0.5000  4 Ni 2.23

Density functional theory data (PBE-GGA) for crystalline YAl2FeCo at its relaxed geometry.

Output
As for the uncorrected energy: -19.9 eV per cell. The value obtained for the theoretical density is 3.4 g/cm³. The formation energy comes out at 186.3 kJ/mol of atoms.

a b c (Å): 5.3625 4.4294 5.3625
angles (deg): 90.00 90.00 90.00
Last column: nearest neighbours and their distance in Å.
Element x y z (fractional)
Al 0.0000 0.0000 0.5000  2 Y 2.68
Y 0.0000 0.0000 0.0000  2 Fe 2.21
Fe 0.0000 0.5000 0.0000  2 Y 2.21
Co 0.5000 0.5000 0.5000  8 Al 3.48, 4 Fe 3.79
Al 0.5000 0.0000 0.0000  2 Y 2.68

Density functional theory data (PBE-GGA) for crystalline KCa2TcN4 at its relaxed geometry.

Output
As for the uncorrected energy: -107.5 eV per cell. The value obtained for the theoretical density is 3.1 g/cm³. Its uncorrected formation energy is -0.622 eV/atom.

a b c (Å): 5.8030 6.0443 8.2277
angles (deg): 90.00 90.00 90.00
Last column: nearest neighbours and their distance in Å.
Element x y z (fractional)
N 0.3165 0.2450 0.0000  1 Tc 1.82
N 0.4589 0.1014 0.5000  1 Tc 1.83
Ca 0.9880 0.6921 0.2464  4 N 2.34-2.39
Tc 0.0060 0.1987 0.0000  4 N 1.82-1.83
N 0.8850 0.3237 0.1842  1 Tc 1.83
Ca 0.9880 0.6921 0.7536  4 N 2.34-2.39
N 0.8850 0.3237 0.8158  1 Tc 1.83
Tc 0.5060 0.8013 0.5000  4 N 1.82-1.83
N 0.3850 0.6763 0.3158  1 Tc 1.83
Ca 0.4880 0.3079 0.2536  4 N 2.34-2.39
N 0.8165 0.7550 0.5000  1 Tc 1.82
N 0.9589 0.8986 0.0000  1 Tc 1.83
K 0.4725 0.8131 0.0000  5 N 2.76-3.02
K 0.9725 0.1869 0.5000  5 N 2.76-3.02
N 0.3850 0.6763 0.6842  1 Tc 1.83
Ca 0.4880 0.3079 0.7464  4 N 2.34-2.39

Density functional theory data (PBE-GGA) for crystalline K2TiCr at its relaxed geometry.

Output
As for the uncorrected energy: -29.2 eV per cell. The value obtained for the theoretical density is 1.6 g/cm³. The formation energy comes out at 123.0 kJ/mol of atoms.

a b c (Å): 12.6082 12.6082 9.2014
angles (deg): 46.75 46.75 90.00
Last column: nearest neighbours and their distance in Å.
Element x y z (fractional)
K 0.8750 0.0276 0.7500  2 Cr 3.43, 2 Ti 3.79
Ti 0.5000 0.5000 0.0000  2 Cr 2.28
K 0.7776 0.1250 0.2500  2 Cr 3.43, 2 Ti 3.79
K 0.3750 0.2224 0.7500  2 Cr 3.43, 2 Ti 3.79
Cr 0.7500 0.2500 0.5000  2 Ti 2.28
Ti 0.2500 0.7500 0.5000  2 Cr 2.28
K 0.9724 0.6250 0.2500  2 Cr 3.43, 2 Ti 3.79
Cr 0.0000 0.0000 0.0000  2 Ti 2.28

Density functional theory data (PBE-GGA) for crystalline Zr6CS3 at its relaxed geometry.

Output
As for the uncorrected energy: -168.2 eV per cell. The value obtained for the theoretical density is 6.1 g/cm³. Its uncorrected formation energy is -1.120 eV/atom.

a b c (Å): 6.0925 6.6130 8.8505
angles (deg): 90.00 91.66 90.00
Last column: nearest neighbours and their distance in Å.
Element x y z (fractional)
Zr 0.1638 0.0238 0.7670  1 C 2.32, 2 S 2.54-2.59
C 0.5000 0.5000 0.5000  6 Zr 2.29-2.33
C 0.0000 0.0000 0.0000  6 Zr 2.29-2.33
Zr 0.3362 0.5238 0.7330  1 C 2.32, 2 S 2.54-2.59
Zr 0.6517 0.1941 0.5653  1 C 2.29, 1 S 2.56
Zr 0.8362 0.9762 0.2330  1 C 2.32, 2 S 2.54-2.59
Zr 0.6755 0.1617 0.9251  1 C 2.33, 1 S 2.57
S 0.5537 0.8759 0.7379  6 Zr 2.59-2.74
S 0.5000 0.5000 0.0000  6 Zr 2.54-2.57
S 0.0000 0.0000 0.5000  6 Zr 2.54-2.57
S 0.0537 0.6241 0.2379  6 Zr 2.59-2.74
Zr 0.1755 0.3383 0.4251  1 C 2.33, 1 S 2.57
Zr 0.6638 0.4762 0.2670  1 C 2.32, 2 S 2.54-2.59
Zr 0.8483 0.6941 0.9347  1 C 2.29, 1 S 2.56
Zr 0.1517 0.3059 0.0653  1 C 2.29, 1 S 2.56
Zr 0.8245 0.6617 0.5749  1 C 2.33, 1 S 2.57
Zr 0.3245 0.8383 0.0749  1 C 2.33, 1 S 2.57
Zr 0.3483 0.8059 0.4347  1 C 2.29, 1 S 2.56
S 0.9463 0.3759 0.7621  6 Zr 2.59-2.74
S 0.4463 0.1241 0.2621  6 Zr 2.59-2.74

Density functional theory data (PBE-GGA) for crystalline CdReP at its relaxed geometry.

Output
As for the uncorrected energy: -16.9 eV per cell. The value obtained for the theoretical density is 10.7 g/cm³. The calculation puts the energy above the lowest structure with this stoichiometry at 649 meV per atom. The formation energy comes out at 60.9 kJ/mol of atoms.

a b c (Å): 4.1723 4.1723 4.1723
angles (deg): 60.00 60.00 60.00
Last column: nearest neighbours and their distance in Å.
Element x y z (fractional)
Re 0.0000 0.0000 0.0000  4 P 2.55
P 0.7500 0.7500 0.7500  4 Cd 2.55, 4 Re 2.55
Cd 0.5000 0.5000 0.5000  4 P 2.55

Density functional theory data (PBE-GGA) for crystalline LuHf2Sc at its relaxed geometry.

Output
As for the uncorrected energy: -30.3 eV per cell. The value obtained for the theoretical density is 10.0 g/cm³. The calculation puts the energy above the lowest structure with this stoichiometry at 0 meV per atom. The formation energy comes out at 11.2 kJ/mol of atoms.

a b c (Å): 4.6463 4.5415 4.5415
angles (deg): 90.00 90.00 90.00
Last column: nearest neighbours and their distance in Å.
Element x y z (fractional)
Sc 0.5000 0.5000 0.5000  4 Lu 3.21, 8 Hf 3.25
Hf 0.0000 0.0000 0.5000  4 Hf 3.21, 4 Sc 3.25, 4 Lu 3.25
Lu 0.5000 0.0000 0.0000  4 Sc 3.21, 8 Hf 3.25
Hf 0.0000 0.5000 0.0000  4 Hf 3.21, 4 Sc 3.25, 4 Lu 3.25

Density functional theory data (PBE-GGA) for crystalline AcCe3Sm2Se6 at its relaxed geometry.

Output
As for the uncorrected energy: -74.1 eV per cell. The value obtained for the theoretical density is 7.3 g/cm³. Its uncorrected formation energy is -1.818 eV/atom.

a b c (Å): 7.3391 7.3391 7.3692
angles (deg): 99.58 99.58 120.05
Last column: nearest neighbours and their distance in Å.
Element x y z (fractional)
Se 0.0851 0.4293 0.2547  3 Ce 2.95-3.02, 2 Sm 2.98-2.99, 1 Ac 3.08
Ce 0.8375 0.1625 0.5000  6 Se 2.95-3.02
Sm 0.6674 0.3326 0.0000  6 Se 2.97-2.99
Se 0.5707 0.9149 0.7453  3 Ce 2.95-3.02, 2 Sm 2.98-2.99, 1 Ac 3.08
Ce 0.5000 0.5000 0.5000  6 Se 2.93-3.01
Se 0.9149 0.5707 0.7453  3 Ce 2.95-3.02, 2 Sm 2.98-2.99, 1 Ac 3.08
Sm 0.3326 0.6674 0.0000  6 Se 2.97-2.99
Ce 0.1625 0.8375 0.5000  6 Se 2.95-3.02
Se 0.4293 0.0851 0.2547  3 Ce 2.95-3.02, 2 Sm 2.98-2.99, 1 Ac 3.08
Se 0.2615 0.2615 0.7502  3 Ce 2.93-3.00, 2 Sm 2.97, 1 Ac 3.07
Se 0.7385 0.7385 0.2498  3 Ce 2.93-3.00, 2 Sm 2.97, 1 Ac 3.07
Ac 0.0000 0.0000 0.0000  6 Se 3.07-3.08